{
  "formula": "KCoTcCl6",
  "functional": "PBE-GGA",
  "state": "optimized geometry",
  "mass_density_g_cm3": 2.8,
  "e_form_raw_kj_per_mol_fu": -780,
  "volume_a3_per_cell": 245,
  "lattice": [[6.3107, 0.0000, 0.0000], [-3.1553, 5.4652, 0.0000], [0.0000, 0.0000, 7.0958]],
  "species": ["K", "Co", "Tc", "Cl", "Cl", "Cl", "Cl", "Cl", "Cl"],
  "frac_coords": [[0.0000, 0.0000, 0.0000], [0.6667, 0.3333, 0.5000], [0.3333, 0.6667, 0.5000], [0.0066, 0.3709, 0.3072], [0.0066, 0.6357, 0.6928], [0.3643, 0.3709, 0.6928], [0.3643, 0.9934, 0.3072], [0.6291, 0.6357, 0.3072], [0.6291, 0.9934, 0.6928]]
}

{
  "formula": "K2TlCoCl6",
  "functional": "PBE-GGA",
  "state": "optimized geometry",
  "mass_density_g_cm3": 3.3,
  "e_form_raw_kj_per_mol_fu": -1161,
  "volume_a3_per_cell": 557,
  "lattice": [[7.2288, 0.0000, 0.0000], [0.0000, 7.4583, 0.0000], [-7.0750, 0.0000, 10.3402]],
  "species": ["K", "K", "K", "K", "Tl", "Tl", "Co", "Co", "Cl", "Cl", "Cl", "Cl", "Cl", "Cl", "Cl", "Cl", "Cl", "Cl", "Cl", "Cl"],
  "frac_coords": [[0.2270, 0.0664, 0.2457], [0.2270, 0.4336, 0.7457], [0.7730, 0.5664, 0.2543], [0.7730, 0.9336, 0.7543], [0.5000, 0.0000, 0.0000], [0.5000, 0.5000, 0.5000], [0.0000, 0.0000, 0.5000], [0.0000, 0.5000, 0.0000], [0.1123, 0.2427, 0.9523], [0.1123, 0.2573, 0.4523], [0.2117, 0.6669, 0.9540], [0.2117, 0.8331, 0.4540], [0.2990, 0.0207, 0.7103], [0.2990, 0.4793, 0.2103], [0.7010, 0.5207, 0.7897], [0.7010, 0.9793, 0.2897], [0.7883, 0.1669, 0.5460], [0.7883, 0.3331, 0.0460], [0.8877, 0.7427, 0.5477], [0.8877, 0.7573, 0.0477]]
}

{
  "formula": "K3TlCo2Cl8",
  "functional": "PBE-GGA",
  "state": "optimized geometry",
  "mass_density_g_cm3": 2.6,
  "e_form_raw_kj_per_mol_fu": -1612,
  "volume_a3_per_cell": 461,
  "lattice": [[7.7328, 0.0000, 0.0000], [-3.8664, 6.6968, 0.0000], [0.0000, 0.0000, 8.9068]],
  "species": ["K", "K", "K", "Tl", "Co", "Co", "Cl", "Cl", "Cl", "Cl", "Cl", "Cl", "Cl", "Cl"],
  "frac_coords": [[0.0000, 0.0000, 0.0000], [0.3333, 0.6667, 0.6026], [0.6667, 0.3333, 0.3974], [0.0000, 0.0000, 0.5000], [0.3333, 0.6667, 0.1839], [0.6667, 0.3333, 0.8161], [0.1788, 0.3575, 0.2888], [0.1788, 0.8212, 0.2888], [0.3333, 0.6667, 0.9372], [0.3575, 0.1788, 0.7112], [0.6425, 0.8212, 0.2888], [0.6667, 0.3333, 0.0628], [0.8212, 0.1788, 0.7112], [0.8212, 0.6425, 0.7112]]
}

{
  "formula": "KTlCoCl6",
  "functional": "PBE-GGA",
  "state": "optimized geometry",
  "mass_density_g_cm3": 3.2,
  "e_form_raw_kj_per_mol_fu": -781,
  "volume_a3_per_cell": 533,
  "lattice": [[7.0100, 0.0000, 0.0000], [-3.5050, 6.0708, 0.0000], [0.0000, 0.0000, 12.5290]],
  "species": ["K", "K", "Tl", "Tl", "Co", "Co", "Cl", "Cl", "Cl", "Cl", "Cl", "Cl", "Cl", "Cl", "Cl", "Cl", "Cl", "Cl"],
  "frac_coords": [[0.0000, 0.0000, 0.0000], [0.0000, 0.0000, 0.5000], [0.3333, 0.6667, 0.2500], [0.6667, 0.3333, 0.7500], [0.3333, 0.6667, 0.7500], [0.6667, 0.3333, 0.2500], [0.0713, 0.4068, 0.6441], [0.0713, 0.6645, 0.8559], [0.3355, 0.4068, 0.8559], [0.3355, 0.9287, 0.6441], [0.4068, 0.0713, 0.1441], [0.4068, 0.3355, 0.3559], [0.5932, 0.6645, 0.6441], [0.5932, 0.9287, 0.8559], [0.6645, 0.0713, 0.3559], [0.6645, 0.5932, 0.1441], [0.9287, 0.3355, 0.1441], [0.9287, 0.5932, 0.3559]]
}

{
  "formula": "KTlCo2Cl6",
  "functional": "PBE-GGA",
  "state": "optimized geometry",
  "mass_density_g_cm3": 3.1,
  "e_form_raw_kj_per_mol_fu": -910,
  "volume_a3_per_cell": 623,
  "lattice": [[6.8117, -6.6571, 0.0000], [6.8117, 6.6571, 0.0000], [-1.3022, 0.0000, 6.8665]],
  "species": ["K", "K", "Tl", "Tl", "Co", "Co", "Co", "Co", "Cl", "Cl", "Cl", "Cl", "Cl", "Cl", "Cl", "Cl", "Cl", "Cl", "Cl", "Cl"],
  "frac_coords": [[0.1033, 0.8967, 0.7500], [0.8967, 0.1033, 0.2500], [0.3038, 0.6962, 0.2500], [0.6962, 0.3038, 0.7500], [0.2066, 0.3680, 0.7313], [0.3680, 0.2066, 0.2313], [0.6320, 0.7934, 0.7687], [0.7934, 0.6320, 0.2687], [0.0264, 0.2145, 0.6783], [0.1356, 0.5842, 0.8406], [0.2145, 0.0264, 0.1783], [0.2965, 0.3887, 0.4450], [0.3887, 0.2965, 0.9450], [0.4158, 0.8644, 0.6594], [0.5842, 0.1356, 0.3406], [0.6113, 0.7035, 0.0550], [0.7035, 0.6113, 0.5550], [0.7855, 0.9736, 0.8217], [0.8644, 0.4158, 0.1594], [0.9736, 0.7855, 0.3217]]
}

{
  "formula": "KTlCoCl4",
  "functional": "PBE-GGA",
  "state": "optimized geometry",
  "mass_density_g_cm3": 3.4,
  "e_form_raw_kj_per_mol_fu": -753,
  "volume_a3_per_cell": 429,
  "lattice": [[7.0083, 0.0000, 0.0000], [0.0000, 7.2145, 0.0000], [-2.9880, 0.0000, 8.4872]],
  "species": ["K", "K", "Tl", "Tl", "Co", "Co", "Cl", "Cl", "Cl", "Cl", "Cl", "Cl", "Cl", "Cl"],
  "frac_coords": [[0.2113, 0.2500, 0.4239], [0.7887, 0.7500, 0.5761], [0.3019, 0.2500, 0.9617], [0.6981, 0.7500, 0.0383], [0.2773, 0.7500, 0.2113], [0.7227, 0.2500, 0.7887], [0.0702, 0.7500, 0.3576], [0.1102, 0.7500, 0.9485], [0.4876, 0.5038, 0.2745], [0.4876, 0.9962, 0.2745], [0.5124, 0.0038, 0.7255], [0.5124, 0.4962, 0.7255], [0.8898, 0.2500, 0.0515], [0.9298, 0.2500, 0.6424]]
}

{
  "formula": "KTl3Co2Cl8",
  "functional": "PBE-GGA",
  "state": "optimized geometry",
  "mass_density_g_cm3": 3.8,
  "e_form_raw_kj_per_mol_fu": -1266,
  "volume_a3_per_cell": 461,
  "lattice": [[7.2966, 0.0000, 0.0000], [-3.6483, 6.3191, 0.0000], [0.0000, 0.0000, 10.0082]],
  "species": ["K", "Tl", "Tl", "Tl", "Co", "Co", "Cl", "Cl", "Cl", "Cl", "Cl", "Cl", "Cl", "Cl"],
  "frac_coords": [[0.0000, 0.0000, 0.0000], [0.0000, 0.0000, 0.5000], [0.3333, 0.6667, 0.1930], [0.6667, 0.3333, 0.8070], [0.3333, 0.6667, 0.6991], [0.6667, 0.3333, 0.3009], [0.1666, 0.3331, 0.7760], [0.1666, 0.8334, 0.7760], [0.3331, 0.1666, 0.2240], [0.3333, 0.6667, 0.4749], [0.6667, 0.3333, 0.5251], [0.6669, 0.8334, 0.7760], [0.8334, 0.1666, 0.2240], [0.8334, 0.6669, 0.2240]]
}

{
  "formula": "KTmCo2Cl8",
  "functional": "PBE-GGA",
  "state": "optimized geometry",
  "mass_density_g_cm3": 3.0,
  "e_form_raw_kj_per_mol_fu": -1542,
  "volume_a3_per_cell": 343,
  "lattice": [[3.2102, 1.8534, 9.6077], [-3.2102, 1.8534, 9.6077], [0.0000, -3.7068, 9.6077]],
  "species": ["K", "Tm", "Co", "Co", "Cl", "Cl", "Cl", "Cl", "Cl", "Cl", "Cl", "Cl"],
  "frac_coords": [[0.0000, 0.0000, 0.0000], [0.5000, 0.5000, 0.5000], [0.2457, 0.2457, 0.2457], [0.7543, 0.7543, 0.7543], [0.1178, 0.7779, 0.4434], [0.2221, 0.5566, 0.8822], [0.3215, 0.3215, 0.3215], [0.4434, 0.1178, 0.7779], [0.5566, 0.8822, 0.2221], [0.6785, 0.6785, 0.6785], [0.7779, 0.4434, 0.1178], [0.8822, 0.2221, 0.5566]]
}